Below is crystalline Cd2NiBr at its relaxed geometry, with properties calculated at the PBE-GGA level.

## Properties
SG: P4mm, No. 99
size of the total moment: 0.0 μB/f.u.
E_form (uncorrected): 0.082 eV per atom
energy relative to the lowest polymorph listed for this composition: 0.106 eV per atom

a b c (Å): 3.6688 3.6688 7.3673
angles (deg): 90.00 90.00 90.00
Element x y z (fractional)
Cd1 0.0000 0.0000 0.0000
Cd2 0.5000 0.5000 0.3116
Ni1 0.0000 0.0000 0.3410
Br1 0.5000 0.5000 0.7961